Entry from Alexandria: an optimized crystal structure of NbZnFe (PBE).

The value obtained for the total energy is -78.79 eV/cell. The value obtained for the size of the total moment is 1.23 μB/f.u.

The structure belongs to space group Cmmm (No. 65); the cell edges are 3.9891, 4.0008 and 10.9869 Å and the angles 90.00°, 90.00° and 90.00°. Symmetry generates all atoms from Nb at (0.0000, 0.0000, 0.1545), Zn at (0.0000, 0.5000, 0.3472), Fe at (0.0000, 0.0000, 0.5000) and Fe at (0.0000, 0.5000, 0.0000).